The following is a DFT calculation (GGA-PBE) of Cs3BeIr after structural relaxation.

Lattice parameters (Å, degrees): 6.3420 6.3420 6.3420 90.00 90.00 90.00
With the nearest neighbours (Å) after each atom.
Fractional coordinates of all 5 atoms:
Cs  0.0000  0.5000  0.0000  2 Ir 3.17
Cs  0.0000  0.0000  0.5000  2 Ir 3.17
Cs  0.5000  0.0000  0.0000  2 Ir 3.17
Be  0.5000  0.5000  0.5000  12 Cs 4.48
Ir  0.0000  0.0000  0.0000  6 Cs 3.17

total magnetic moment: 0.7 Bohr magnetons per cell
final energy: -1.911 eV per atom
crystal system: cubic
space group: Pm-3m


The following is a DFT calculation (GGA-PBE) of ZrFe2W after structural relaxation.

Lattice parameters (Å, degrees): 3.3056 4.4348 4.1352 90.00 90.00 90.00
With the nearest neighbours (Å) after each atom.
Fractional coordinates of all 4 atoms:
Fe  0.0000  0.0000  0.0000  4 W 2.65, 4 Fe 2.77
Fe  0.5000  0.5000  0.0000  4 Zr 2.65, 4 Fe 2.77
W  0.5000  0.0000  0.5000  4 Fe 2.65, 4 Zr 2.77
Zr  0.0000  0.5000  0.5000  4 Fe 2.65, 4 W 2.77

total magnetic moment: 3.4 Bohr magnetons per cell
final energy: -9.385 eV per atom
crystal system: orthorhombic
space group: Pmmm


The following is a DFT calculation (GGA-PBE) of Ba2AgAu2O6 after structural relaxation.

Lattice parameters (Å, degrees): 6.2686 6.2686 6.7993 62.55 62.55 60.00
With the nearest neighbours (Å) after each atom.
Fractional coordinates of all 11 atoms:
Ba  0.7843  0.7843  0.6471  3 O 2.72
Ba  0.2157  0.2157  0.3529  3 O 2.72
Ag  0.0000  0.0000  0.0000  6 O 2.19
Au  0.4146  0.4146  0.7561  3 O 2.04
Au  0.5854  0.5854  0.2439  3 O 2.04
O  0.7666  0.7666  0.2621  1 Au 2.04, 1 Ag 2.19
O  0.2047  0.7666  0.2621  1 Au 2.04, 1 Ag 2.19
O  0.7666  0.2047  0.2621  1 Au 2.04, 1 Ag 2.19
O  0.2334  0.7953  0.7379  1 Au 2.04, 1 Ag 2.19
O  0.7953  0.2334  0.7379  1 Au 2.04, 1 Ag 2.19
O  0.2334  0.2334  0.7379  1 Au 2.04, 1 Ag 2.19

total magnetic moment: 0.0 Bohr magnetons per cell
energy relative to the elements, uncorrected: -828.1 kJ/mol of formula units
final energy: -4.689 eV per atom
crystal system: trigonal
space group: R-3m


The following is a DFT calculation (GGA-PBE) of KPrPbO3 after structural relaxation.

Lattice parameters (Å, degrees): 3.6668 9.2040 7.0465 88.52 90.00 90.00
With the nearest neighbours (Å) after each atom.
Fractional coordinates of all 12 atoms:
K  0.7500  0.6842  0.6031  5 O 2.81-2.99
K  0.2500  0.3158  0.3969  5 O 2.81-2.99
Pr  0.2500  0.6561  0.0889  6 O 2.42-2.45
Pr  0.7500  0.3439  0.9111  6 O 2.42-2.45
Pb  0.2500  0.0356  0.7596  3 O 2.28-2.39
Pb  0.7500  0.9644  0.2404  3 O 2.28-2.39
O  0.2500  0.8194  0.3532  2 Pb 2.39, 1 Pr 2.42
O  0.7500  0.8158  0.9863  1 Pb 2.28, 2 Pr 2.45
O  0.7500  0.4987  0.1859  3 Pr 2.42-2.43
O  0.7500  0.1806  0.6468  2 Pb 2.39, 1 Pr 2.42
O  0.2500  0.5013  0.8141  3 Pr 2.42-2.43
O  0.2500  0.1842  0.0137  1 Pb 2.28, 2 Pr 2.45

total magnetic moment: 0.0 Bohr magnetons per cell
energy relative to the elements, uncorrected: -1197.5 kJ/mol of formula units
final energy: -6.145 eV per atom
crystal system: monoclinic
space group: P2_1/m


The following is a DFT calculation (GGA-PBE) of CeThGa5Pt2 after structural relaxation.

Lattice parameters (Å, degrees): 4.2003 4.2003 10.5208 90.00 90.00 90.00
With the nearest neighbours (Å) after each atom.
Fractional coordinates of all 9 atoms:
Ce  0.0000  0.0000  0.0000  8 Pt 3.25, 8 Ga 3.54
Th  0.0000  0.0000  0.5000  12 Ga 2.97-3.19
Ga  0.0000  0.5000  0.2714  2 Pt 2.60
Ga  0.5000  0.0000  0.2714  2 Pt 2.60
Ga  0.0000  0.5000  0.7286  2 Pt 2.60
Ga  0.5000  0.0000  0.7286  2 Pt 2.60
Ga  0.5000  0.5000  0.5000  4 Th 2.97, 8 Ga 3.19
Pt  0.5000  0.5000  0.1255  4 Ga 2.60, 1 Pt 2.64
Pt  0.5000  0.5000  0.8745  4 Ga 2.60, 1 Pt 2.64

total magnetic moment: 0.8 Bohr magnetons per cell
final energy: -5.120 eV per atom
crystal system: tetragonal
space group: P4/mmm


The following is a DFT calculation (GGA-PBE) of LaNdGaGe after structural relaxation.

Lattice parameters (Å, degrees): 4.5162 4.1403 6.1421 90.00 111.57 90.00
With the nearest neighbours (Å) after each atom.
Fractional coordinates of all 4 atoms:
La  0.1423  0.0000  0.2845  4 Ga 3.17, 3 Ge 3.23-3.35
Nd  0.8612  0.5000  0.7223  4 Ge 3.15, 3 Ga 3.29-3.31
Ga  0.5712  0.5000  0.1424  2 Ge 2.66
Ge  0.4254  0.0000  0.8507  2 Ga 2.66

total magnetic moment: 0.3 Bohr magnetons per cell
energy above the most stable polymorph in this dataset: 0.00 eV per formula unit
final energy: -5.088 eV per atom
crystal system: orthorhombic
space group: Amm2


The following is a DFT calculation (GGA-PBE) of MnPOs2 after structural relaxation.

Lattice parameters (Å, degrees): 4.7058 4.7058 4.7058 134.19 134.19 66.79
With the nearest neighbours (Å) after each atom.
Fractional coordinates of all 4 atoms:
Mn  0.7500  0.2500  0.5000  8 Os 2.59-2.69, 4 P 2.69
P  0.5000  0.5000  0.0000  8 Os 2.59-2.69, 4 Mn 2.69
Os  0.0000  0.0000  0.0000  4 P 2.59, 4 Mn 2.69, 4 Os 2.69
Os  0.2500  0.7500  0.5000  4 Mn 2.59, 4 P 2.69, 4 Os 2.69

total magnetic moment: 2.3 Bohr magnetons per cell
final energy: -9.017 eV per atom
crystal system: tetragonal
space group: I-4m2


The following is a DFT calculation (GGA-PBE) of Pm3Th after structural relaxation.

Lattice parameters (Å, degrees): 5.7652 5.7652 5.7652 60.00 60.00 60.00
With the nearest neighbours (Å) after each atom.
Fractional coordinates of all 4 atoms:
Th  0.5000  0.5000  0.5000  8 Pm 3.53
Pm  0.0000  0.0000  0.0000  8 Pm 3.53
Pm  0.7500  0.7500  0.7500  4 Th 3.53, 4 Pm 3.53
Pm  0.2500  0.2500  0.2500  4 Pm 3.53, 4 Th 3.53

total magnetic moment: 0.0 Bohr magnetons per cell
energy above the most stable polymorph in this dataset: 0.64 eV per formula unit
final energy: -5.229 eV per atom
crystal system: cubic
space group: Fm-3m


- Among the records above, which one has the lowest final energy?
  ZrFe2W